No. 1
# AsOsRh2W

An optimized crystal structure of AsOsRh2W (GGA-PBE, Alexandria).

Properties
- Calculated volume: 21.09 Å³ per atom
- Energy: -7.0906 eV/atom
- Space-group type: P4/mmm (123)

```
5
Lattice="-0.482 2.775 -3.800 1.007 -3.657 -2.798 -4.596 -1.098 -0.219" Properties=species:S:1:pos:R:3 pbc="T T T"
W 0.503 -1.828 -1.399
As -2.036 -0.990 -3.408
Os 0.000 0.000 0.000
Rh -2.298 -0.549 -0.109
Rh -0.241 1.387 -1.900
```



No. 2
# AsOs2RhW

An optimized crystal structure of AsOs2RhW (GGA-PBE, Alexandria).

Properties
- Calculated volume: 17.93 Å³ per atom
- Energy: -7.8989 eV/atom
- Space-group type: P4/mmm (123)

```
5
Lattice="4.492 0.000 0.000 0.000 4.444 0.000 0.000 0.000 4.492" Properties=species:S:1:pos:R:3 pbc="T T T"
Os 2.246 0.000 0.000
W 2.246 2.222 2.246
Rh 0.000 2.222 0.000
As 0.000 0.000 0.000
Os 0.000 0.000 2.246
```



No. 3
# YAsOs2Rh

An optimized crystal structure of YAsOs2Rh (GGA-PBE, Alexandria).

Properties
- Calculated volume: 20.80 Å³ per atom
- Energy: -7.2090 eV/atom
- Space-group type: P4/mmm (123)

```
5
Lattice="-4.029 -1.640 1.120 2.276 -3.971 2.375 0.107 2.350 3.826" Properties=species:S:1:pos:R:3 pbc="T T T"
As 0.000 0.000 0.000
Y 1.138 -1.985 1.188
Os -2.014 -0.820 0.560
Os 0.054 1.175 1.913
Rh -0.823 -1.630 3.660
```



No. 4
# AsOs2Ru

An optimized crystal structure of AsOs2Ru (GGA-PBE, Alexandria).

Properties
- Calculated volume: 14.85 Å³ per atom
- Energy: -8.4614 eV/atom
- Space-group type: F-43m (216)

```
4
Lattice="4.379 0.000 0.000 2.190 3.792 0.000 2.190 1.264 3.576" Properties=species:S:1:pos:R:3 pbc="T T T"
As 4.379 2.528 1.788
Ru 2.190 1.264 0.894
Os 0.000 0.000 0.000
Os 6.569 3.792 2.682
```



No. 5
# AsOs2Ru

An optimized crystal structure of AsOs2Ru (GGA-PBE, Alexandria).

Properties
- Calculated volume: 14.37 Å³ per atom
- Energy: -8.7188 eV/atom
- Space-group type: P4/mmm (123)

```
4
Lattice="-1.642 -2.172 0.970 1.297 0.171 2.577 -4.744 4.521 2.088" Properties=species:S:1:pos:R:3 pbc="T T T"
Os -4.669 4.449 2.055
Os -2.447 2.332 1.077
As -3.731 2.390 3.340
Ru -1.359 0.130 2.296
```



No. 6
# AsOs2Ru

An optimized crystal structure of AsOs2Ru (GGA-PBE, Alexandria).

Properties
- Calculated volume: 14.55 Å³ per atom
- Energy: -8.5890 eV/atom
- Space-group type: Cmmm (65)

```
4
Lattice="4.583 0.040 0.000 -0.962 4.481 0.000 0.000 0.000 2.828" Properties=species:S:1:pos:R:3 pbc="T T T"
Os 1.811 2.260 0.000
Os 0.000 0.000 0.000
As -0.481 2.241 1.414
Ru 2.292 0.020 1.414
```



no.,Fermi-level density of states (states/eV/atom),total moment (μB/f.u.),calculated density (g cm⁻³)
1,0.958,0.000,10.3
2,1.238,2.052,13.7
3,0.891,0.000,10.3
4,1.592,1.170,15.6
5,0.878,0.000,16.1
6,1.059,0.000,15.9